# PBE HfTl3Pb2Se6, relaxed
data_HfTl3Pb2Se6
_space_group_name_H-M_alt 'C 1 2/m 1'
_space_group_IT_number 12
_space_group_name_Hall '-C 2y'
_cell_length_a 7.484
_cell_length_b 12.894
_cell_length_c 7.751
_cell_angle_alpha 90.00
_cell_angle_beta 109.14
_cell_angle_gamma 90.00
loop_
_atom_site_label
_atom_site_type_symbol
_atom_site_fract_x
_atom_site_fract_y
_atom_site_fract_z
Hf1 Hf 0.000 0.000 0.000
Tl1 Tl 0.000 0.171 0.500
Tl2 Tl 0.000 0.500 0.500
Pb1 Pb 0.000 0.335 0.000
Se1 Se 0.220 0.148 0.210
Se2 Se 0.221 0.000 0.781
# **Formation energy without anion corrections**: -678 meV/atom
# **D(E_F)**: 10.73 states/eV per cell
# **Electronic total energy**: -4.459 eV per atom



# PBE SrPtBr2, relaxed
data_SrPtBr2
_space_group_name_H-M_alt 'P 4/m m m'
_space_group_IT_number 123
_space_group_name_Hall '-P 4 2'
_cell_length_a 3.822
_cell_length_b 3.822
_cell_length_c 6.958
_cell_angle_alpha 90.00
_cell_angle_beta 90.00
_cell_angle_gamma 90.00
loop_
_atom_site_label
_atom_site_type_symbol
_atom_site_fract_x
_atom_site_fract_y
_atom_site_fract_z
Sr1 Sr 0.000 0.000 0.000
Pt1 Pt 0.000 0.000 0.500
Br1 Br 0.500 0.500 0.248
# **Formation energy without anion corrections**: -466 meV/atom
# **Excess energy over the best structure of this formula in the dataset**: 0.678 eV/atom
# **D(E_F)**: 4.63 states/eV per cell
# **Electronic total energy**: -3.233 eV per atom



# PBE CrBPt3, relaxed
data_CrBPt3
_space_group_name_H-M_alt 'P m -3 m'
_space_group_IT_number 221
_space_group_name_Hall '-P 4 2 3'
_cell_length_a 4.587
_cell_length_b 4.587
_cell_length_c 4.587
_cell_angle_alpha 90.00
_cell_angle_beta 90.00
_cell_angle_gamma 90.00
loop_
_atom_site_label
_atom_site_type_symbol
_atom_site_fract_x
_atom_site_fract_y
_atom_site_fract_z
Cr1 Cr 0.000 0.000 0.000
B1 B 0.500 0.500 0.500
Pt1 Pt 0.000 0.000 0.500
# **Excess energy over the best structure of this formula in the dataset**: 1.798 eV/atom
# **DFT formation energy**: 1.745 eV per atom
# **D(E_F)**: 4.46 states/eV per cell
# **Electronic total energy**: -5.140 eV per atom



# PBE K2Na9Hg6, relaxed
data_K2Na9Hg6
_space_group_name_H-M_alt 'P 6/m m m'
_space_group_IT_number 191
_space_group_name_Hall '-P 6 2'
_cell_length_a 6.9310
_cell_length_b 6.9310
_cell_length_c 14.7672
_cell_angle_alpha 90.00
_cell_angle_beta 90.00
_cell_angle_gamma 120.00
loop_
_atom_site_label
_atom_site_type_symbol
_atom_site_fract_x
_atom_site_fract_y
_atom_site_fract_z
K1 K 0.0000 0.0000 0.1688
Na1 Na 0.0000 0.5000 0.0000
Na2 Na 0.0000 0.5000 0.3343
Hg1 Hg 0.3333 0.6667 0.1675
Hg2 Hg 0.3333 0.6667 0.5000
# **DFT formation energy**: -0.104 eV per atom
# **D(E_F)**: 7.93 states/eV per cell
# **Electronic total energy**: -1.038 eV per atom



# PBE TlCo2Si2, relaxed
data_TlCo2Si2
_space_group_name_H-M_alt 'I 4/m m m'
_space_group_IT_number 139
_space_group_name_Hall '-I 4 2'
_cell_length_a 3.541
_cell_length_b 3.541
_cell_length_c 11.470
_cell_angle_alpha 90.00
_cell_angle_beta 90.00
_cell_angle_gamma 90.00
loop_
_atom_site_label
_atom_site_type_symbol
_atom_site_fract_x
_atom_site_fract_y
_atom_site_fract_z
Tl1 Tl 0.000 0.000 0.000
Co1 Co 0.000 0.000 0.377
Si1 Si 0.000 0.500 0.250
# **Formation energy without anion corrections**: -139 meV/atom
# **Excess energy over the best structure of this formula in the dataset**: 0.000 eV/atom
# **D(E_F)**: 5.21 states/eV per cell
# **Electronic total energy**: -5.624 eV per atom



# PBE CsAs2BrN, relaxed
data_CsAs2BrN
_space_group_name_H-M_alt 'P 4/m m m'
_space_group_IT_number 123
_space_group_name_Hall '-P 4 2'
_cell_length_a 7.409
_cell_length_b 7.409
_cell_length_c 7.198
_cell_angle_alpha 90.00
_cell_angle_beta 90.00
_cell_angle_gamma 90.00
loop_
_atom_site_label
_atom_site_type_symbol
_atom_site_fract_x
_atom_site_fract_y
_atom_site_fract_z
Cs1 Cs 0.000 0.000 0.000
As1 As 0.000 0.500 0.000
Br1 Br 0.000 0.000 0.500
N1 N 0.500 0.500 0.500
# **Formation energy without anion corrections**: 1705 meV/atom
# **Excess energy over the best structure of this formula in the dataset**: 1.306 eV/atom
# **D(E_F)**: 8.80 states/eV per cell
# **Electronic total energy**: -2.325 eV per atom



# PBE LiGe2IF, relaxed
data_LiGe2IF
_space_group_name_H-M_alt 'P 4/m m m'
_space_group_IT_number 123
_space_group_name_Hall '-P 4 2'
_cell_length_a 5.507
_cell_length_b 5.507
_cell_length_c 3.535
_cell_angle_alpha 90.00
_cell_angle_beta 90.00
_cell_angle_gamma 90.00
loop_
_atom_site_label
_atom_site_type_symbol
_atom_site_fract_x
_atom_site_fract_y
_atom_site_fract_z
Li1 Li 0.000 0.000 0.000
Ge1 Ge 0.000 0.500 0.500
I1 I 0.500 0.500 0.000
F1 F 0.000 0.000 0.500
# **Formation energy without anion corrections**: -421 meV/atom
# **D(E_F)**: 2.26 states/eV per cell
# **Electronic total energy**: -3.335 eV per atom